Crystalline NaBi2F7 at its relaxed geometry. Source: Alexandria via LeMat-Bulk, functional PBE-GGA.

Values from the calculation:
Formation energy from raw total energies, eV/atom: -2.5124
E, eV/atom: -4.730
Space-group type: R-3m (166)

a b c (Å): 11.1626 11.1626 11.1626
angles (deg): 21.33 21.33 21.33
Fractional coordinates of all 10 atoms:
1 Na 0.0000 0.0000 0.0000
2 Bi 0.4293 0.4293 0.4293
3 Bi 0.5707 0.5707 0.5707
4 F 0.0778 0.0778 0.0778
5 F 0.2247 0.2247 0.2247
6 F 0.3617 0.3617 0.3617
7 F 0.5000 0.5000 0.5000
8 F 0.6383 0.6383 0.6383
9 F 0.7753 0.7753 0.7753
10 F 0.9222 0.9222 0.9222